Here is Fe2CuAg after structural relaxation from the Alexandria database. Energies are from GGA-PBE.

The structure in CIF format:
```
data_Fe2CuAg
_cell_length_a 3.018
_cell_length_b 3.018
_cell_length_c 6.027
_cell_angle_alpha 90.00
_cell_angle_beta 90.00
_cell_angle_gamma 90.00
_space_group_name_H-M_alt 'P 1'
_space_group_IT_number 1
_space_group_name_Hall 'P 1'
loop_
_atom_site_label
_atom_site_type_symbol
_atom_site_fract_x
_atom_site_fract_y
_atom_site_fract_z
_atom_site_occupancy
Cu1 Cu 0.500 0.500 0.750 1
Fe1 Fe 0.000 0.000 0.964 1
Fe2 Fe 0.000 0.000 0.536 1
Ag1 Ag 0.500 0.500 0.250 1
```

## Properties
**Energy relative to the elements**: 1.6 eV per formula unit
**Energy**: -0.4101 Ry/atom
**Calculated density**: 8564 kg/m³
**Polymorph energy (0 for the lowest one)**: 169 meV/atom
**Fermi-level density of states**: 4.73 states/eV per cell
**Space-group type**: P4/mmm (123)